1.
ZrFe4Os: optimized geometry, PBE-GGA.

```
6
Lattice="-3.398 2.104 -2.749 -2.201 -2.537 -3.500 -4.653 -1.279 0.492" Properties=species:S:1:pos:R:3 pbc="T T T"
Fe -6.399 -1.069 -3.593
Fe -4.712 -2.113 -2.228
Fe -5.306 0.191 -1.855
Fe -4.089 -0.434 -3.837
Zr 0.000 0.000 0.000
Os -2.563 -0.428 -1.439
```

Output
crystal system: cubic

=====

2.
Zr2Fe2Os: optimized geometry, PBE-GGA.

```
10
Lattice="6.331 0.000 0.000 0.000 6.331 0.000 0.000 0.000 4.044" Properties=species:S:1:pos:R:3 pbc="T T T"
Os 0.000 0.000 0.000
Os 3.165 3.165 0.000
Zr 4.320 5.176 2.022
Zr 2.010 1.155 2.022
Zr 1.155 4.320 2.022
Zr 5.176 2.010 2.022
Fe 3.927 0.762 0.000
Fe 2.403 5.568 0.000
Fe 5.568 3.927 0.000
Fe 0.762 2.403 0.000
```

Output
crystal system: tetragonal

=====

3.
FeP: optimized geometry, PBE-GGA.

```
4
Lattice="2.679 0.000 0.000 0.000 2.679 0.000 0.000 0.000 7.086" Properties=species:S:1:pos:R:3 pbc="T T T"
P 2.009 2.009 2.140
P 0.670 0.670 4.946
Fe 2.009 2.009 6.221
Fe 0.670 0.670 0.865
```

Output
crystal system: tetragonal

=====

4.
FeP: optimized geometry, PBE-GGA.

```
4
Lattice="3.757 0.000 0.000 0.000 3.757 0.000 0.000 0.000 5.073" Properties=species:S:1:pos:R:3 pbc="T T T"
Fe 0.939 2.818 0.000
Fe 2.818 0.939 0.000
P 0.939 0.939 1.073
P 2.818 2.818 4.000
```

Output
crystal system: tetragonal

=====

5.
FeP4: optimized geometry, PBE-GGA.

```
30
Lattice="13.685 0.000 0.000 0.000 4.619 -0.001 0.000 1.396 6.876" Properties=species:S:1:pos:R:3 pbc="T T T"
Fe 2.327 4.500 2.625
Fe 9.169 0.817 0.812
Fe 4.516 5.198 6.063
Fe 11.359 1.515 4.250
Fe 0.000 0.000 0.000
Fe 6.843 0.698 3.438
P 3.081 1.216 4.370
P 8.385 4.373 4.775
P 3.837 3.001 3.225
P 12.143 3.675 1.337
P 1.464 3.235 1.011
P 10.680 2.317 0.212
P 8.306 2.082 2.426
P 9.924 5.498 5.943
P 3.762 0.517 0.932
P 12.221 2.781 5.864
P 7.583 4.069 1.721
P 6.102 1.946 5.154
P 7.609 2.998 6.391
P 0.740 1.248 1.716
P 6.076 3.018 0.484
P 0.766 3.716 3.922
P 10.604 4.800 2.505
P 5.300 1.643 2.100
P 5.379 3.933 4.449
P 12.919 2.300 2.953
P 3.006 3.699 6.663
P 9.848 3.015 3.650
P 1.542 2.341 5.538
P 12.945 4.768 5.160
```

Output
crystal system: monoclinic

=====

6.
FeP: optimized geometry, PBE-GGA.

```
2
Lattice="-1.282 -2.986 -1.937 0.624 -3.727 -0.169 -1.885 -3.206 0.688" Properties=species:S:1:pos:R:3 pbc="T T T"
P -1.272 -4.960 -0.709
Fe 0.000 0.000 0.000
```

Output
crystal system: trigonal

=====

7.
Fe2P3: optimized geometry, PBE-GGA.

```
10
Lattice="-4.764 0.128 6.347 -5.414 2.873 1.560 -2.273 -4.338 2.625" Properties=species:S:1:pos:R:3 pbc="T T T"
Fe -5.528 -2.740 6.924
Fe -7.862 0.323 6.002
Fe -6.060 1.874 4.245
Fe -5.187 -1.986 4.086
P -3.423 -0.610 4.282
P -4.723 1.667 2.539
P -5.719 -0.393 5.640
P -1.979 0.390 1.592
P -8.832 -0.727 8.272
P -2.142 -2.683 2.254
```

Output
crystal system: orthorhombic

=====

8.
FeP: optimized geometry, PBE-GGA.

```
4
Lattice="-4.683 0.988 -1.904 -4.919 -0.740 1.339 -4.113 2.851 1.220" Properties=species:S:1:pos:R:3 pbc="T T T"
Fe -1.394 0.315 0.067
Fe -12.322 2.784 0.588
P -10.182 2.301 0.486
P -3.534 0.799 0.169
```

Output
crystal system: trigonal

=====

Number 1: total DFT energy (no corrections) -9.03 eV/atom, total magnetic moment 9.15 μB/cell, calculated volume 80.71 Å³/f.u.. Number 2: total DFT energy (no corrections) -9.17 eV/atom, total magnetic moment 2.94 μB/cell, calculated volume 81.04 Å³/f.u.. Number 3: total DFT energy (no corrections) -6.98 eV/atom, total magnetic moment 0.37 μB/cell, calculated volume 25.42 Å³/f.u.. Number 4: total DFT energy (no corrections) -7.08 eV/atom, total magnetic moment 0.00 μB/cell, calculated volume 35.81 Å³/f.u.. Number 5: total DFT energy (no corrections) -6.39 eV/atom, total magnetic moment 0.00 μB/cell, calculated volume 72.45 Å³/f.u.. Number 6: total DFT energy (no corrections) -7.16 eV/atom, total magnetic moment 0.01 μB/cell, calculated volume 21.79 Å³/f.u.. Number 7: total DFT energy (no corrections) -6.77 eV/atom, total magnetic moment 0.00 μB/cell, calculated volume 61.86 Å³/f.u.. Number 8: total DFT energy (no corrections) -7.03 eV/atom, total magnetic moment 0.00 μB/cell, calculated volume 27.55 Å³/f.u..